(1)
LiTmTe2O8: optimized geometry, PBE.

The structure in POSCAR format:
```
LiTmTe2O8
1.0
-3.153 -4.153 -3.163
2.437 -2.081 5.189
-3.908 4.429 1.517
Li Tm Te O
1 1 2 8
direct
0.000 0.000 0.000 Li
0.250 0.750 0.500 Tm
0.750 0.250 0.500 Te
0.500 0.500 0.000 Te
0.372 0.061 0.311 O
0.324 0.520 0.196 O
0.324 0.129 0.804 O
0.750 0.061 0.689 O
0.871 0.676 0.196 O
0.939 0.250 0.311 O
0.939 0.628 0.689 O
0.480 0.676 0.804 O
```

Summary:
* total magnetic moment: 0.000 μB/cell
* volume: 173.6 Å³/f.u.
* E_tot: -5.89 eV/atom
* DOS(E_F): 0.00 states/eV/cell
* space-group type: No. 119
* ΔE_f (raw): -1.5264 eV per atom

***

(2)
TmIn3Br6: optimized geometry, PBE.

The structure in POSCAR format:
```
TmIn3Br6
1.0
7.571 0.000 0.309
0.000 8.687 0.000
0.358 0.000 11.213
Tm In Br
2 6 12
direct
0.500 0.500 0.500 Tm
0.000 0.000 0.000 Tm
0.531 0.918 0.774 In
0.500 0.500 0.000 In
0.469 0.082 0.226 In
0.031 0.582 0.274 In
0.000 0.000 0.500 In
0.969 0.418 0.726 In
0.693 0.162 0.961 Br
0.656 0.234 0.581 Br
0.638 0.433 0.269 Br
0.362 0.567 0.731 Br
0.344 0.766 0.419 Br
0.307 0.838 0.039 Br
0.193 0.338 0.461 Br
0.156 0.266 0.081 Br
0.138 0.067 0.769 Br
0.862 0.933 0.231 Br
0.844 0.734 0.919 Br
0.807 0.662 0.539 Br
```

Summary:
* total magnetic moment: 0.000 μB/cell
* volume: 368.2 Å³/f.u.
* E_tot: -3.42 eV/atom
* DOS(E_F): 0.00 states/eV/cell
* space-group type: No. 14
* ΔE_f (raw): -1.1477 eV per atom

***

> What is the DOS(E_F) in the second record?

0.00 states/eV/cell